Compound: AgAs4
Source: Alexandria
Functional: PBE
Structure: relaxed

Cell and atoms, written as POSCAR:
```
AgAs4
1.0
4.9778 0.0000 0.0000
0.0000 4.9778 0.0000
0.0000 0.0000 4.9778
As Ag
4 1
direct
0.0000 0.5000 0.5000
0.0000 0.0000 0.0000
0.5000 0.5000 0.0000
0.5000 0.0000 0.5000
0.5000 0.5000 0.5000
```

Results
The total DFT energy (no corrections) is -0.2379 Ry per atom. For the energy relative to the lowest polymorph listed for this composition, the calculation gives 0.7896 eV/atom. As for the formation enthalpy at 0 K: 1053 meV/atom.